VASP calculation (GGA-PBE) on a geometry-optimized HoEr5Sc2In structure.

Properties
Uncorrected energy   -42.58 eV per formula unit
Crystal system   orthorhombic
Fermi-level density of states   1.540 states/eV per atom
Formation enthalpy at 0 K   0.02 eV per atom

```
HoEr5Sc2In
1.0
5.2347 0.0000 0.0000
-2.6174 9.6971 0.0000
0.0000 0.0000 10.3930
Ho Er Sc In
2 10 4 2
Direct
0.7988 0.5976 0.5084 Ho
0.2012 0.4024 0.0084 Ho
0.3785 0.7570 0.0082 Er
0.7093 0.4186 0.8060 Er
0.5000 0.0000 0.7580 Er
0.2911 0.5822 0.7108 Er
0.9918 0.9837 0.5083 Er
0.6215 0.2430 0.5082 Er
0.2907 0.5814 0.3060 Er
0.5000 0.0000 0.2580 Er
0.7089 0.4178 0.2108 Er
0.0082 0.0163 0.0083 Er
0.8842 0.7684 0.7959 Sc
0.1161 0.2321 0.7206 Sc
0.1158 0.2316 0.2959 Sc
0.8839 0.7679 0.2206 Sc
0.5931 0.1862 0.0078 In
0.4069 0.8138 0.5078 In
```

=====

VASP calculation (GGA-PBE) on a geometry-optimized HoErIn2Se4 structure.

Properties
Uncorrected energy   -38.93 eV per formula unit
E_form (uncorrected)   -1.30 eV/atom
Crystal system   monoclinic

```
HoErIn2Se4
1.0
4.1251 0.0000 0.0000
0.0000 7.1401 0.1235
0.0000 -2.5132 7.7061
Ho Er In Se
1 1 2 4
Direct
0.5000 0.5000 0.0000 Ho
0.0000 0.0000 0.0000 Er
0.5000 0.0000 0.5000 In
0.0000 0.5000 0.5000 In
0.5000 0.2345 0.2065 Se
0.5000 0.7655 0.7935 Se
0.0000 0.2635 0.7930 Se
0.0000 0.7365 0.2070 Se
```

=====

VASP calculation (GGA-PBE) on a geometry-optimized HoEr2In3Se6 structure.

Properties
Uncorrected energy   -58.38 eV per formula unit
E_form (uncorrected)   -1.30 eV/atom
Crystal system   monoclinic

```
HoEr2In3Se6
1.0
7.1367 -0.0015 0.0005
-3.5679 6.1808 0.0005
-1.1897 -2.0600 7.7555
Ho Er In Se
1 2 3 6
Direct
0.0000 0.0000 0.0000 Ho
0.3333 0.6667 0.0000 Er
0.6667 0.3333 0.0000 Er
0.1664 0.8336 0.5000 In
0.8336 0.1664 0.5000 In
0.5000 0.5000 0.5000 In
0.9311 0.5968 0.7934 Se
0.7344 0.7344 0.2063 Se
0.0689 0.4032 0.2066 Se
0.5968 0.9311 0.7934 Se
0.2656 0.2656 0.7937 Se
0.4032 0.0689 0.2066 Se
```

=====

VASP calculation (GGA-PBE) on a geometry-optimized SmHoEr2In4 structure.

Properties
Uncorrected energy   -33.01 eV per formula unit
Crystal system   trigonal
Fermi-level density of states   0.496 states/eV per atom
Formation enthalpy at 0 K   -0.45 eV per atom

```
SmHoEr2In4
1.0
-2.2536 -1.0348 -4.6998
3.0329 -0.6582 -4.3135
0.7474 -9.0966 -1.3595
Sm Ho Er In
1 1 2 4
Direct
0.0000 0.0000 0.0000 Sm
0.5000 0.5000 0.5000 Ho
0.7503 0.7503 0.7490 Er
0.2497 0.2497 0.2510 Er
0.3761 0.3761 0.8718 In
0.8740 0.8740 0.3780 In
0.1260 0.1260 0.6220 In
0.6239 0.6239 0.1282 In
```